Record 1
A relaxed structure of Ca2ScAgH, computed with GGA-PBE.

Values from the calculation:
Crystal system: tetragonal

Unit cell a=5.131 b=5.131 c=4.186 alpha=90.00 beta=90.00 gamma=90.00
Fractional positions:
Ca (0.000, 0.500, 0.000)
Ca (0.500, 0.000, 0.000)
Sc (0.000, 0.000, 0.500)
Ag (0.500, 0.500, 0.500)
H (0.000, 0.000, 0.000)

=====

Record 2
A relaxed structure of Li4Te, computed with GGA-PBE.

Values from the calculation:
Formation energy from raw total energies, meV/atom: -315
Crystal system: cubic

Unit cell a=5.298 b=5.298 c=5.298 alpha=90.00 beta=90.00 gamma=90.00
Fractional positions:
Li (0.000, 0.000, 0.000)
Li (0.000, 0.500, 0.500)
Li (0.500, 0.000, 0.500)
Li (0.500, 0.500, 0.000)
Te (0.500, 0.500, 0.500)

=====

Record 3
A relaxed structure of Np3P2Se, computed with GGA-PBE.

Values from the calculation:
Formation energy from raw total energies, meV/atom: -941
Crystal system: tetragonal

Unit cell a=4.015 b=4.015 c=17.034 alpha=90.00 beta=90.00 gamma=90.00
Fractional positions:
Np (0.000, 0.000, 0.000)
Np (0.000, 0.000, 0.329)
Np (0.000, 0.000, 0.671)
Np (0.500, 0.500, 0.171)
Np (0.500, 0.500, 0.500)
Np (0.500, 0.500, 0.829)
P (0.000, 0.000, 0.165)
P (0.000, 0.000, 0.835)
P (0.500, 0.500, 0.335)
P (0.500, 0.500, 0.665)
Se (0.000, 0.000, 0.500)
Se (0.500, 0.500, 0.000)

=====

Record 4
A relaxed structure of La3Tb6SmEr2, computed with GGA-PBE.

Values from the calculation:
Crystal system: monoclinic
Calculated formation energy, meV/atom: 21

Unit cell a=6.245 b=6.245 c=11.933 alpha=95.01 beta=95.01 gamma=120.02
Fractional positions:
La (0.000, 0.000, 0.000)
La (0.333, 0.667, 0.000)
La (0.667, 0.333, 0.000)
Tb (0.085, 0.419, 0.256)
Tb (0.247, 0.247, 0.745)
Tb (0.419, 0.085, 0.256)
Tb (0.581, 0.915, 0.744)
Tb (0.753, 0.753, 0.255)
Tb (0.915, 0.581, 0.744)
Sm (0.500, 0.500, 0.500)
Er (0.167, 0.833, 0.500)
Er (0.833, 0.167, 0.500)

=====

Computed VASP energy (eV for the cell shown) in order:
-17.17, -12.37, -117.55, -56.16